Entry 1:
The following is a DFT calculation (PBE-GGA) of crystalline Ca2La5Pr12 at its relaxed geometry.

Calculated values
- E (Ry per atom) = -0.324
- formation energy from the elements (meV/atom) = 111.6
- D(E_F) (states/eV per cell) = 30.1
- crystal system = monoclinic

a b c (Å): 9.0290 9.0290 9.7716
angles (deg): 109.48 109.48 83.41
Atoms (fractional coordinates):
Ca (0.2350, 0.7650, 0.0000)
Ca (0.7650, 0.2350, 0.0000)
La (0.1902, 0.1902, 0.2348)
La (0.3067, 0.3067, 0.6717)
La (0.5000, 0.5000, 0.5000)
La (0.6933, 0.6933, 0.3283)
La (0.8098, 0.8098, 0.7652)
Pr (0.0602, 0.5558, 0.1941)
Pr (0.0744, 0.0744, 0.7782)
Pr (0.1173, 0.6675, 0.5745)
Pr (0.3325, 0.8827, 0.4255)
Pr (0.3742, 0.3742, 0.0577)
Pr (0.4442, 0.9398, 0.8059)
Pr (0.5558, 0.0602, 0.1941)
Pr (0.6258, 0.6258, 0.9423)
Pr (0.6675, 0.1173, 0.5745)
Pr (0.8827, 0.3325, 0.4255)
Pr (0.9256, 0.9256, 0.2218)
Pr (0.9398, 0.4442, 0.8059)

---

Entry 2:
The following is a DFT calculation (PBE-GGA) of crystalline LaPm2MoN4 at its relaxed geometry.

Calculated values
- raw formation energy (eV/atom) = -1.047
- E (Ry per atom) = -0.615
- D(E_F) (states/eV per cell) = 5.2
- crystal system = orthorhombic

a b c (Å): 6.3362 6.3362 12.2665
angles (deg): 90.00 90.00 147.78
Atoms (fractional coordinates):
La (0.0853, 0.9147, 0.7500)
La (0.9147, 0.0853, 0.2500)
Pm (0.3697, 0.6303, 0.5404)
Pm (0.3697, 0.6303, 0.9596)
Pm (0.6303, 0.3697, 0.0404)
Pm (0.6303, 0.3697, 0.4596)
Mo (0.1719, 0.8281, 0.2500)
Mo (0.8281, 0.1719, 0.7500)
N (0.0000, 0.0000, 0.0000)
N (0.0000, 0.0000, 0.5000)
N (0.2656, 0.7344, 0.1264)
N (0.2656, 0.7344, 0.3736)
N (0.4290, 0.5710, 0.7500)
N (0.5710, 0.4290, 0.2500)
N (0.7344, 0.2656, 0.6264)
N (0.7344, 0.2656, 0.8736)

---

Entry 3:
The following is a DFT calculation (PBE-GGA) of crystalline PmDy3Ho2S6 at its relaxed geometry.

Calculated values
- raw formation energy (eV/atom) = -1.996
- E (Ry per atom) = -0.468
- D(E_F) (states/eV per cell) = 4.8
- crystal system = monoclinic

a b c (Å): 6.7971 6.7971 6.7846
angles (deg): 99.58 99.58 120.20
Atoms (fractional coordinates):
Pm (0.0000, 0.0000, 0.0000)
Dy (0.1626, 0.8374, 0.5000)
Dy (0.5000, 0.5000, 0.5000)
Dy (0.8374, 0.1626, 0.5000)
Ho (0.3340, 0.6660, 0.0000)
Ho (0.6660, 0.3340, 0.0000)
S (0.0844, 0.4262, 0.2534)
S (0.2580, 0.2580, 0.7495)
S (0.4262, 0.0844, 0.2534)
S (0.5738, 0.9156, 0.7466)
S (0.7420, 0.7420, 0.2505)
S (0.9156, 0.5738, 0.7466)